No. 1
Co2GeOs: optimized geometry, GGA-PBE.

Unit cell a=5.8256 b=5.8256 c=5.8256 alpha=90.00 beta=90.00 gamma=90.00
Last column: nearest neighbours and their distance in Å.
Space group F-43m (No. 216)
Unique sites:
Co1 0.0000 0.0000 0.0000 (multiplicity 4)  4 Co 2.52, 4 Os 2.52
Co2 0.2500 0.2500 0.2500 (multiplicity 4)  4 Ge 2.52, 4 Co 2.52
Ge1 0.0000 0.0000 0.5000 (multiplicity 4)  4 Co 2.52, 4 Os 2.52
Os1 0.2500 0.2500 0.7500 (multiplicity 4)  4 Ge 2.52, 4 Co 2.52

Magnetic moment ... 3.0 μB/f.u.
Total energy ... -7.3849 eV/atom

---

No. 2
CoGe2Os: optimized geometry, GGA-PBE.

Unit cell a=6.1358 b=6.1358 c=6.1358 alpha=90.00 beta=90.00 gamma=90.00
Last column: nearest neighbours and their distance in Å.
Space group F-43m (No. 216)
Unique sites:
Co1 0.0000 0.0000 0.0000 (multiplicity 4)  4 Os 2.66, 4 Ge 2.66
Ge1 0.0000 0.0000 0.5000 (multiplicity 4)  4 Ge 2.66, 4 Os 2.66
Ge2 0.2500 0.2500 0.2500 (multiplicity 4)  4 Co 2.66, 4 Ge 2.66
Os1 0.2500 0.2500 0.7500 (multiplicity 4)  4 Ge 2.66, 4 Co 2.66

Magnetic moment ... 1.5 μB/f.u.
Total energy ... -6.4084 eV/atom

---

No. 3
CoGeOsPd: optimized geometry, GGA-PBE.

Unit cell a=6.0596 b=6.0596 c=6.0596 alpha=90.00 beta=90.00 gamma=90.00
Last column: nearest neighbours and their distance in Å.
Space group F-43m (No. 216)
Unique sites:
Co1 0.0000 0.0000 0.0000 (multiplicity 4)  4 Ge 2.62, 4 Pd 2.62
Ge1 0.2500 0.2500 0.7500 (multiplicity 4)  4 Co 2.62, 4 Os 2.62
Os1 0.0000 0.0000 0.5000 (multiplicity 4)  4 Ge 2.62, 4 Pd 2.62
Pd1 0.2500 0.2500 0.2500 (multiplicity 4)  4 Co 2.62, 4 Os 2.62

Magnetic moment ... 2.0 μB/f.u.
Energy relative to the lowest polymorph listed for this composition ... 0.00 kcal/mol of atoms

---

No. 4
CoTcGeOs: optimized geometry, GGA-PBE.

Unit cell a=6.0328 b=6.0328 c=6.0328 alpha=90.00 beta=90.00 gamma=90.00
Last column: nearest neighbours and their distance in Å.
Space group F-43m (No. 216)
Unique sites:
Co1 0.0000 0.0000 0.0000 (multiplicity 4)  4 Ge 2.61, 4 Os 2.61
Tc1 0.0000 0.0000 0.5000 (multiplicity 4)  4 Ge 2.61, 4 Os 2.61
Ge1 0.2500 0.2500 0.7500 (multiplicity 4)  4 Co 2.61, 4 Tc 2.61
Os1 0.2500 0.2500 0.2500 (multiplicity 4)  4 Co 2.61, 4 Tc 2.61

Magnetic moment ... 1.7 μB/f.u.
Total energy ... -8.0788 eV/atom

---

No. 5
YCoGeOs: optimized geometry, GGA-PBE.

Unit cell a=6.5056 b=6.5056 c=6.5056 alpha=90.00 beta=90.00 gamma=90.00
Last column: nearest neighbours and their distance in Å.
Space group F-43m (No. 216)
Unique sites:
Y1 0.0000 0.0000 0.0000 (multiplicity 4)  4 Ge 2.82, 4 Os 2.82
Co1 0.0000 0.0000 0.5000 (multiplicity 4)  4 Os 2.82, 4 Ge 2.82
Ge1 0.2500 0.2500 0.2500 (multiplicity 4)  4 Co 2.82, 4 Y 2.82
Os1 0.2500 0.2500 0.7500 (multiplicity 4)  4 Co 2.82, 4 Y 2.82

Magnetic moment ... 3.1 μB/f.u.
Energy relative to the lowest polymorph listed for this composition ... 7.84 kcal/mol of atoms

---

No. 6
YCoGeOs: optimized geometry, GGA-PBE.

Unit cell a=6.3561 b=6.3561 c=6.3561 alpha=90.00 beta=90.00 gamma=90.00
Last column: nearest neighbours and their distance in Å.
Space group F-43m (No. 216)
Unique sites:
Y1 0.0000 0.0000 0.0000 (multiplicity 4)  4 Co 2.75, 4 Os 2.75
Co1 0.2500 0.2500 0.7500 (multiplicity 4)  4 Ge 2.75, 4 Y 2.75
Ge1 0.0000 0.0000 0.5000 (multiplicity 4)  4 Co 2.75, 4 Os 2.75
Os1 0.2500 0.2500 0.2500 (multiplicity 4)  4 Ge 2.75, 4 Y 2.75

Magnetic moment ... 0.0 μB/f.u.
Energy relative to the lowest polymorph listed for this composition ... 0.00 kcal/mol of atoms

---

No. 7
ZrCoGeOs: optimized geometry, GGA-PBE.

Unit cell a=6.2339 b=6.2339 c=6.2339 alpha=90.00 beta=90.00 gamma=90.00
Last column: nearest neighbours and their distance in Å.
Space group F-43m (No. 216)
Unique sites:
Zr1 0.0000 0.0000 0.0000 (multiplicity 4)  4 Co 2.70, 4 Os 2.70
Co1 0.2500 0.2500 0.7500 (multiplicity 4)  4 Ge 2.70, 4 Zr 2.70
Ge1 0.0000 0.0000 0.5000 (multiplicity 4)  4 Co 2.70, 4 Os 2.70
Os1 0.2500 0.2500 0.2500 (multiplicity 4)  4 Ge 2.70, 4 Zr 2.70

Magnetic moment ... 1.0 μB/f.u.
Energy relative to the lowest polymorph listed for this composition ... 0.00 kcal/mol of atoms

---

No. 8
ZrCoGeOs: optimized geometry, GGA-PBE.

Unit cell a=6.3323 b=6.3323 c=6.3323 alpha=90.00 beta=90.00 gamma=90.00
Last column: nearest neighbours and their distance in Å.
Space group F-43m (No. 216)
Unique sites:
Zr1 0.0000 0.0000 0.0000 (multiplicity 4)  4 Os 2.74, 4 Ge 2.74
Co1 0.0000 0.0000 0.5000 (multiplicity 4)  4 Ge 2.74, 4 Os 2.74
Ge1 0.2500 0.2500 0.2500 (multiplicity 4)  4 Zr 2.74, 4 Co 2.74
Os1 0.2500 0.2500 0.7500 (multiplicity 4)  4 Zr 2.74, 4 Co 2.74

Magnetic moment ... 2.7 μB/f.u.
Energy relative to the lowest polymorph listed for this composition ... 8.91 kcal/mol of atoms

---

Question: magnetic moment of number 4 (CoTcGeOs)?
Answer: 1.7 μB/f.u.